Record 1
A relaxed PmTcIr crystal, computed with PBE-GGA.

Calculated volume (Å³ per atom): 22.6
ΔE_f (eV/atom): 1.0745
Symmetry: No. 216
Energy above the lowest structure with this stoichiometry (meV per atom): 722

Cell lengths 6.4740, 6.4740, 6.4740 Å; angles 90.00, 90.00, 90.00 degrees
Atoms (fractional coordinates):
Pm: 0.0000 0.0000 0.0000
Pm: 0.0000 0.5000 0.5000
Pm: 0.5000 0.0000 0.5000
Pm: 0.5000 0.5000 0.0000
Tc: 0.2500 0.2500 0.2500
Tc: 0.2500 0.7500 0.7500
Tc: 0.7500 0.2500 0.7500
Tc: 0.7500 0.7500 0.2500
Ir: 0.2500 0.2500 0.7500
Ir: 0.2500 0.7500 0.2500
Ir: 0.7500 0.2500 0.2500
Ir: 0.7500 0.7500 0.7500

=====

Record 2
A relaxed HfZr2W crystal, computed with PBE-GGA.

Calculated volume (Å³ per atom): 20.3
ΔE_f (eV/atom): 0.1713
Symmetry: No. 216

Cell lengths 6.8748, 6.8748, 6.8748 Å; angles 90.00, 90.00, 90.00 degrees
Atoms (fractional coordinates):
Hf: 0.0000 0.0000 0.0000
Hf: 0.0000 0.5000 0.5000
Hf: 0.5000 0.0000 0.5000
Hf: 0.5000 0.5000 0.0000
Zr: 0.0000 0.0000 0.5000
Zr: 0.0000 0.5000 0.0000
Zr: 0.2500 0.2500 0.2500
Zr: 0.2500 0.7500 0.7500
Zr: 0.5000 0.0000 0.0000
Zr: 0.5000 0.5000 0.5000
Zr: 0.7500 0.2500 0.7500
Zr: 0.7500 0.7500 0.2500
W: 0.2500 0.2500 0.7500
W: 0.2500 0.7500 0.2500
W: 0.7500 0.2500 0.2500
W: 0.7500 0.7500 0.7500

=====

Record 3
A relaxed Lu4SiNiC2 crystal, computed with PBE-GGA.

Total energy (eV/atom): -6.295
Calculated volume (Å³ per atom): 18.2
Symmetry: No. 187

Cell lengths 3.4951, 3.4951, 13.7484 Å; angles 90.00, 90.00, 120.00 degrees
Atoms (fractional coordinates):
Lu: 0.0000 0.0000 0.1444
Lu: 0.0000 0.0000 0.8556
Lu: 0.6667 0.3333 0.3355
Lu: 0.6667 0.3333 0.6645
Si: 0.0000 0.0000 0.5000
Ni: 0.6667 0.3333 0.0000
C: 0.3333 0.6667 0.2399
C: 0.3333 0.6667 0.7601